## Y2CdCoO (PBE with a Hubbard U)

Data for an optimized crystal structure of Y2CdCoO.

Properties
- raw total energy (eV per atom) = -3.891
- Fermi-level density of states (states/eV per cell) = 5.2
- calculated volume (Å³/atom) = 25.6

Lattice parameters (Å, degrees): 5.6660 3.9922 5.6660 90.00 90.00 90.00
With the nearest neighbours (Å) after each atom.
Positions (direct):
1 Y 0.0000 0.0000 0.5000  2 Cd 2.83
2 Y 0.5000 0.0000 0.0000  2 Cd 2.83
3 Co 0.5000 0.5000 0.5000  8 Y 3.47
4 O 0.0000 0.5000 0.0000  2 Cd 2.00
5 Cd 0.0000 0.0000 0.0000  2 O 2.00